Material: LaV3Pd
Method: DFT, PBE
State: optimized geometry

a = 4.803 Å, b = 4.803 Å, c = 4.803 Å
α = 90.00°, β = 90.00°, γ = 90.00°
Each line ends with the local moment (μB).
Positions (direct):
V (0.500, 0.000, 0.000)  1.56
V (0.000, 0.500, 0.000)  1.56
V (0.000, 0.000, 0.500)  1.56
Pd (0.000, 0.000, 0.000)  -0.05
La (0.500, 0.500, 0.500)  0.08

Properties
SG = No. 221
DFT formation energy = 18.71 kcal/mol of atoms
E above lowest polymorph = 0.000 eV per atom

***

Material: SbAsAu2
Method: DFT, PBE
State: optimized geometry

a = 3.013 Å, b = 3.932 Å, c = 7.359 Å
α = 90.00°, β = 90.00°, γ = 90.00°
Positions (direct):
As (0.500, 0.500, 0.826)
Sb (0.000, 0.000, 0.454)
Au (0.500, 0.500, 0.233)
Au (0.000, 0.000, 0.987)

Properties
formation energy (no corrections) = 0.149 eV per atom
SG = No. 25
E above lowest polymorph = 0.113 eV per atom

***

What did the first record say?
Material: LaV3Pd
Method: DFT, PBE
State: optimized geometry

a = 4.803 Å, b = 4.803 Å, c = 4.803 Å
α = 90.00°, β = 90.00°, γ = 90.00°
Each line ends with the local moment (μB).
Positions (direct):
V (0.500, 0.000, 0.000)  1.56
V (0.000, 0.500, 0.000)  1.56
V (0.000, 0.000, 0.500)  1.56
Pd (0.000, 0.000, 0.000)  -0.05
La (0.500, 0.500, 0.500)  0.08

Properties
SG = No. 221
DFT formation energy = 18.71 kcal/mol of atoms
E above lowest polymorph = 0.000 eV per atom

***

Which of these has the highest E above lowest polymorph? SbAsAu2